No. 1
{
  "formula": "Cs2CdAu2",
  "functional": "GGA-PBE",
  "state": "optimized geometry",
  "lattice_angstrom": [[-6.340, -4.047, 3.601], [5.339, -3.729, 5.209], [-0.585, 3.991, 3.456]],
  "species": ["Au", "Cs", "Cs", "Au", "Cd", "Cs", "Au", "Cd", "Au", "Cs"],
  "frac_coords": [[0.374, 0.874, 0.000], [0.673, 0.827, 0.500], [0.173, 0.673, 0.500], [0.126, 0.374, 0.000], [0.500, 0.500, 0.000], [0.327, 0.173, 0.500], [0.626, 0.126, 0.000], [0.000, 0.000, 0.000], [0.874, 0.626, 0.000], [0.827, 0.327, 0.500]],
  "magmom_total_mub_per_fu": 0.00,
  "vol_a3_per_atom": 36.940,
  "formation_enthalpy_0k_ev_per_atom": -0.192,
  "e_above_lowest_polymorph_ev_per_atom": 0.041
}

=====

No. 2
{
  "formula": "Y2CoN",
  "functional": "GGA-PBE",
  "state": "optimized geometry",
  "lattice_angstrom": [[6.436, 0.000, 0.000], [0.000, 6.436, 0.000], [3.218, 3.218, 3.852]],
  "species": ["Co", "Co", "Y", "Y", "Y", "N", "N", "Y"],
  "frac_coords": [[0.000, 0.000, 0.000], [0.750, 0.250, 0.500], [0.570, 0.125, 0.250], [0.180, 0.625, 0.250], [0.375, 0.430, 0.750], [0.500, 0.500, 0.000], [0.250, 0.750, 0.500], [0.875, 0.820, 0.750]],
  "magmom_total_mub_per_fu": 0.00,
  "vol_a3_per_atom": 19.943,
  "formation_energy_uncorrected_kcal_per_mol_atoms": -8.99
}

=====

No. 3
{
  "formula": "CrCdRe2",
  "functional": "GGA-PBE",
  "state": "optimized geometry",
  "lattice_angstrom": [[-2.703, 1.175, -1.161], [-1.173, -3.999, -1.316], [-2.027, -0.719, 3.991]],
  "species": ["Cr", "Re", "Cd", "Re"],
  "frac_coords": [[0.000, 0.500, 0.500], [0.500, 0.500, 0.000], [0.500, 0.000, 0.500], [0.000, 0.000, 0.000]],
  "magmom_total_mub_per_fu": 2.51,
  "vol_a3_per_atom": 15.689,
  "formation_enthalpy_0k_ev_per_atom": 0.606
}

=====

No. 4
{
  "formula": "KY2As2",
  "functional": "GGA-PBE",
  "state": "optimized geometry",
  "lattice_angstrom": [[8.286, 0.000, 0.000], [0.000, 8.286, 0.000], [0.000, 0.000, 3.780]],
  "species": ["Y", "As", "K", "As", "K", "As", "As", "Y", "Y", "Y"],
  "frac_coords": [[0.856, 0.356, 0.500], [0.349, 0.849, 0.000], [0.000, 0.000, 0.000], [0.151, 0.349, 0.000], [0.500, 0.500, 0.000], [0.849, 0.651, 0.000], [0.651, 0.151, 0.000], [0.644, 0.856, 0.500], [0.144, 0.644, 0.500], [0.356, 0.144, 0.500]],
  "magmom_total_mub_per_fu": 0.00,
  "vol_a3_per_atom": 25.950,
  "formation_enthalpy_0k_ev_per_atom": -0.837,
  "e_above_lowest_polymorph_ev_per_atom": 0.029
}